Entry from the Open Quantum Materials Database: a relaxed structure of Na2CoPtO4 (PBE with a Hubbard U).

## Properties
Uncorrected energy, eV/atom: -5.193
Total magnetization, μB per formula unit: 2.9

```
data_Na2CoPtO4
_chemical_formula_sum 'Na4 Co2 Pt2 O8'
_cell_length_a 5.632
_cell_length_b 3.589
_cell_length_c 10.877
_cell_angle_alpha 90.00
_cell_angle_beta 90.00
_cell_angle_gamma 90.00
_symmetry_space_group_name_H-M 'A m m 2'
_symmetry_Int_Tables_number 38
loop_
_symmetry_equiv_pos_as_xyz
'x,y,z'
'-x,-y,z'
'-x,y,z'
'x,-y,z'
'x,y+1/2,z+1/2'
'-x,-y+1/2,z+1/2'
'-x,y+1/2,z+1/2'
'x,-y+1/2,z+1/2'
loop_
_atom_site_label
_atom_site_type_symbol
_atom_site_fract_x
_atom_site_fract_y
_atom_site_fract_z
_atom_site_occupancy
Na1 Na 0.000 0.000 0.000 1
Na2 Na 0.500 0.000 0.423 1
Co1 Co 0.000 0.000 0.714 1
Pt1 Pt 0.500 0.000 0.707 1
O1 O 0.225 0.000 0.591 1
O2 O 0.236 0.000 0.829 1
```